*i*
A geometry-optimized CdIr2Pb structure. Source: Alexandria, functional PBE-GGA.

Unit cell a=4.3745 b=4.3745 c=3.7590 alpha=90.00 beta=90.00 gamma=90.00
Closest atoms and distances in Å follow each position.
Element x y z (fractional)
Cd 0.0000 0.0000 0.0000  8 Ir 2.88, 4 Pb 3.09
Ir 0.0000 0.5000 0.5000  4 Pb 2.88, 4 Cd 2.88, 4 Ir 3.09
Ir 0.5000 0.0000 0.5000  4 Pb 2.88, 4 Cd 2.88, 4 Ir 3.09
Pb 0.5000 0.5000 0.0000  8 Ir 2.88, 4 Cd 3.09

For the volume, the calculation gives 72 Å³ per cell.



*ii*
A geometry-optimized CdIr2Pb structure. Source: Alexandria, functional PBE-GGA.

Unit cell a=5.2428 b=5.2428 c=5.2428 alpha=134.16 beta=134.16 gamma=66.84
Closest atoms and distances in Å follow each position.
Element x y z (fractional)
Cd 0.0000 0.0000 0.0000  8 Ir 2.89-2.99, 4 Pb 2.99
Ir 0.2500 0.7500 0.5000  4 Pb 2.89, 4 Cd 2.99, 4 Ir 2.99
Ir 0.5000 0.5000 0.0000  4 Cd 2.89, 4 Pb 2.99, 4 Ir 2.99
Pb 0.7500 0.2500 0.5000  8 Ir 2.89-2.99, 4 Cd 2.99

For the volume, the calculation gives 73 Å³ per cell.



What should be chosen as the most stable of them? Choose *i*.



*i*
A geometry-optimized Pm6Cd2Ir structure. Source: Alexandria, functional PBE-GGA.

Unit cell a=8.7596 b=8.7596 c=5.3616 alpha=107.66 beta=107.66 gamma=48.86
Closest atoms and distances in Å follow each position.
Element x y z (fractional)
Pm 0.0920 0.6028 0.3487  1 Ir 2.90, 1 Cd 3.23
Pm 0.2280 0.7720 0.0000  2 Ir 3.15, 2 Cd 3.20, 1 Pm 3.30
Pm 0.3972 0.9080 0.6513  1 Ir 2.90, 1 Cd 3.23
Pm 0.6028 0.0920 0.3487  1 Ir 2.90, 1 Cd 3.23
Pm 0.7720 0.2280 0.0000  2 Ir 3.15, 2 Cd 3.20, 1 Pm 3.30
Pm 0.9080 0.3972 0.6513  1 Ir 2.90, 1 Cd 3.23
Cd 0.3322 0.3322 0.8334  8 Pm 3.20-3.27
Cd 0.6678 0.6678 0.1666  8 Pm 3.20-3.27
Ir 0.0000 0.0000 0.5000  8 Pm 2.90-3.15

For the volume, the calculation gives 292 Å³ per cell.



*ii*
A geometry-optimized Pm6Cd2Ir structure. Source: Alexandria, functional PBE-GGA.

Unit cell a=8.8308 b=8.8308 c=8.8308 alpha=113.41 beta=109.71 gamma=105.40
Closest atoms and distances in Å follow each position.
Element x y z (fractional)
Pm 0.0777 0.2435 0.8342  1 Ir 3.10, 1 Cd 3.27, 1 Pm 3.37
Pm 0.1801 0.2702 0.4502  2 Ir 2.88-3.20, 1 Cd 3.20
Pm 0.1801 0.7298 0.9099  2 Ir 2.88-3.20, 1 Cd 3.20
Pm 0.2665 0.5988 0.3323  3 Cd 3.10-3.30, 3 Pm 3.25-3.44, 1 Ir 3.28
Pm 0.2665 0.9342 0.6677  3 Cd 3.10-3.30, 3 Pm 3.25-3.44, 1 Ir 3.28
Pm 0.4093 0.2435 0.1658  1 Ir 3.10, 1 Cd 3.27, 1 Pm 3.37
Pm 0.5907 0.7565 0.8342  1 Ir 3.10, 1 Cd 3.27, 1 Pm 3.37
Pm 0.7335 0.0658 0.3323  3 Cd 3.10-3.30, 3 Pm 3.25-3.44, 1 Ir 3.28
Pm 0.7335 0.4012 0.6677  3 Cd 3.10-3.30, 3 Pm 3.25-3.44, 1 Ir 3.28
Pm 0.8199 0.2702 0.0901  2 Ir 2.88-3.20, 1 Cd 3.20
Pm 0.8199 0.7298 0.5498  2 Ir 2.88-3.20, 1 Cd 3.20
Pm 0.9223 0.7565 0.1658  1 Ir 3.10, 1 Cd 3.27, 1 Pm 3.37
Cd 0.3601 0.0000 0.3601  1 Cd 2.84
Cd 0.5000 0.3572 0.8572  1 Cd 2.77
Cd 0.5000 0.6428 0.1428  1 Cd 2.77
Cd 0.6399 0.0000 0.6399  1 Cd 2.84
Ir 0.0000 0.0000 0.0000  8 Pm 3.10-3.20
Ir 0.0000 0.5000 0.5000  4 Pm 2.88

For the volume, the calculation gives 528 Å³ per cell.



What should be chosen as the most stable of them? Choose *ii*.



*i*
A geometry-optimized Pm3Cd2Ir structure. Source: Alexandria, functional PBE-GGA.

Unit cell a=8.2277 b=8.2277 c=7.7033 alpha=90.00 beta=90.00 gamma=143.46
Closest atoms and distances in Å follow each position.
Element x y z (fractional)
Pm 0.0000 0.0000 0.2347  2 Ir 2.96, 6 Cd 3.15-3.29
Pm 0.0000 0.0000 0.7653  2 Ir 2.96, 6 Cd 3.15-3.29
Pm 0.3243 0.6757 0.2192  3 Ir 3.11-3.20, 4 Cd 3.22-3.37, 3 Pm 3.38-3.47
Pm 0.3243 0.6757 0.7808  3 Ir 3.11-3.20, 4 Cd 3.22-3.37, 3 Pm 3.38-3.47
Pm 0.6757 0.3243 0.2192  3 Ir 3.11-3.20, 4 Cd 3.22-3.37, 3 Pm 3.38-3.47
Pm 0.6757 0.3243 0.7808  3 Ir 3.11-3.20, 4 Cd 3.22-3.37, 3 Pm 3.38-3.47
Cd 0.1653 0.8347 0.5000  8 Pm 3.29-3.37, 2 Cd 3.65
Cd 0.5000 0.5000 0.0000  8 Pm 3.15-3.22, 4 Ir 3.49
Cd 0.5000 0.5000 0.5000  8 Pm 3.29-3.49, 4 Cd 3.65
Cd 0.8347 0.1653 0.5000  8 Pm 3.29-3.37, 2 Cd 3.65
Ir 0.1503 0.8497 0.0000  8 Pm 2.96-3.20
Ir 0.8497 0.1503 0.0000  8 Pm 2.96-3.20

For the volume, the calculation gives 310 Å³ per cell.



*ii*
A geometry-optimized Pm3Cd2Ir structure. Source: Alexandria, functional PBE-GGA.

Unit cell a=8.6819 b=8.6819 c=7.5183 alpha=90.00 beta=90.00 gamma=36.84
Closest atoms and distances in Å follow each position.
Element x y z (fractional)
Pm 0.0012 0.9988 0.7500  2 Ir 2.74
Pm 0.3681 0.3681 0.0000  2 Ir 2.87
Pm 0.3681 0.3681 0.5000  2 Ir 2.87
Pm 0.6319 0.6319 0.0000  2 Ir 2.87
Pm 0.6319 0.6319 0.5000  2 Ir 2.87
Pm 0.9988 0.0012 0.2500  2 Ir 2.74
Cd 0.1989 0.1988 0.2500  2 Cd 3.22, 7 Pm 3.28-3.50
Cd 0.1988 0.1989 0.7500  2 Cd 3.22, 7 Pm 3.28-3.50
Cd 0.8012 0.8011 0.2500  2 Cd 3.22, 7 Pm 3.28-3.50
Cd 0.8011 0.8012 0.7500  2 Cd 3.22, 7 Pm 3.28-3.50
Ir 0.4988 0.5012 0.2500  6 Pm 2.74-2.87
Ir 0.5012 0.4988 0.7500  6 Pm 2.74-2.87

For the volume, the calculation gives 340 Å³ per cell.



What should be chosen as the most stable of them? Choose *i*.



*i*
A geometry-optimized Pm4CdIr structure. Source: Alexandria, functional PBE-GGA.

Unit cell a=8.0151 b=8.0151 c=6.2026 alpha=99.57 beta=99.57 gamma=112.14
Closest atoms and distances in Å follow each position.
Element x y z (fractional)
Pm 0.0649 0.7174 0.9517  2 Ir 2.93-2.94, 1 Cd 3.28
Pm 0.2016 0.3626 0.6071  2 Ir 3.02-3.10, 1 Cd 3.28
Pm 0.2826 0.9351 0.5483  2 Ir 2.93-2.94, 1 Cd 3.28
Pm 0.3626 0.2016 0.1071  2 Ir 3.02-3.10, 1 Cd 3.28
Pm 0.6374 0.7984 0.8929  2 Ir 3.02-3.10, 1 Cd 3.28
Pm 0.7174 0.0649 0.4517  2 Ir 2.93-2.94, 1 Cd 3.28
Pm 0.7984 0.6374 0.3929  2 Ir 3.02-3.10, 1 Cd 3.28
Pm 0.9351 0.2826 0.0483  2 Ir 2.93-2.94, 1 Cd 3.28
Cd 0.3791 0.6209 0.2500  8 Pm 3.28-3.42
Cd 0.6209 0.3791 0.7500  8 Pm 3.28-3.42
Ir 0.0002 0.9998 0.2500  8 Pm 2.93-3.10, 2 Ir 3.10
Ir 0.9998 0.0002 0.7500  8 Pm 2.93-3.10, 2 Ir 3.10

For the volume, the calculation gives 352 Å³ per cell.



*ii*
A geometry-optimized Pm4CdIr structure. Source: Alexandria, functional PBE-GGA.

Unit cell a=9.8854 b=9.8854 c=9.8854 alpha=60.00 beta=60.00 gamma=60.00
Closest atoms and distances in Å follow each position.
Element x y z (fractional)
Pm 0.1888 0.1888 0.8112  2 Cd 3.37, 2 Ir 3.55, 10 Pm 3.55-3.73
Pm 0.1888 0.8112 0.1888  2 Cd 3.37, 2 Ir 3.55, 10 Pm 3.55-3.73
Pm 0.1888 0.8112 0.8112  2 Cd 3.37, 2 Ir 3.55, 10 Pm 3.55-3.73
Pm 0.4012 0.4012 0.4012  3 Ir 2.90
Pm 0.4012 0.4012 0.7963  3 Ir 2.90
Pm 0.4012 0.7963 0.4012  3 Ir 2.90
Pm 0.5598 0.5598 0.9402  2 Ir 2.88
Pm 0.5598 0.9402 0.5598  2 Ir 2.88
Pm 0.5598 0.9402 0.9402  2 Ir 2.88
Pm 0.7963 0.4012 0.4012  3 Ir 2.90
Pm 0.8112 0.1888 0.1888  2 Cd 3.37, 2 Ir 3.55, 10 Pm 3.55-3.73
Pm 0.8112 0.1888 0.8112  2 Cd 3.37, 2 Ir 3.55, 10 Pm 3.55-3.73
Pm 0.8112 0.8112 0.1888  2 Cd 3.37, 2 Ir 3.55, 10 Pm 3.55-3.73
Pm 0.9402 0.5598 0.5598  2 Ir 2.88
Pm 0.9402 0.5598 0.9402  2 Ir 2.88
Pm 0.9402 0.9402 0.5598  2 Ir 2.88
Cd 0.1699 0.1699 0.1699  3 Cd 3.17, 6 Pm 3.37-3.53
Cd 0.1699 0.1699 0.4904  3 Cd 3.17, 6 Pm 3.37-3.53
Cd 0.1699 0.4904 0.1699  3 Cd 3.17, 6 Pm 3.37-3.53
Cd 0.4904 0.1699 0.1699  3 Cd 3.17, 6 Pm 3.37-3.53
Ir 0.1752 0.6083 0.6083  6 Pm 2.88-2.90
Ir 0.6083 0.1752 0.6083  6 Pm 2.88-2.90
Ir 0.6083 0.6083 0.1752  6 Pm 2.88-2.90
Ir 0.6083 0.6083 0.6083  6 Pm 2.88-2.90

For the volume, the calculation gives 683 Å³ per cell.



What should be chosen as the most stable of them? Choose *ii*.



*i*
A geometry-optimized Pm6CdIr3 structure. Source: Alexandria, functional PBE-GGA.

Unit cell a=8.7801 b=8.7801 c=7.2345 alpha=90.00 beta=90.00 gamma=99.12
Closest atoms and distances in Å follow each position.
Element x y z (fractional)
Pm 0.0624 0.9376 0.5000  4 Ir 3.03-3.13
Pm 0.0644 0.5035 0.6366  3 Ir 2.90-3.17
Pm 0.2127 0.7873 0.9634  3 Ir 2.78-2.87
Pm 0.3123 0.3713 0.0292  4 Ir 2.93-3.00
Pm 0.3713 0.3123 0.5292  4 Ir 2.93-3.00
Pm 0.4965 0.9356 0.6366  3 Ir 2.90-3.17
Pm 0.5035 0.0644 0.1366  3 Ir 2.90-3.17
Pm 0.6287 0.6877 0.0292  4 Ir 2.93-3.00
Pm 0.6877 0.6287 0.5292  4 Ir 2.93-3.00
Pm 0.7873 0.2127 0.4634  3 Ir 2.78-2.87
Pm 0.9356 0.4965 0.1366  3 Ir 2.90-3.17
Pm 0.9376 0.0624 0.0000  4 Ir 3.03-3.13
Cd 0.3254 0.6746 0.3509  1 Ir 2.91, 1 Pm 3.18
Cd 0.6746 0.3254 0.8509  1 Ir 2.91, 1 Pm 3.18
Ir 0.0834 0.2627 0.3144  5 Pm 2.78-3.03
Ir 0.2627 0.0834 0.8144  5 Pm 2.78-3.03
Ir 0.3887 0.6113 0.7362  7 Pm 2.87-3.00, 1 Cd 2.91
Ir 0.6113 0.3887 0.2362  7 Pm 2.87-3.00, 1 Cd 2.91
Ir 0.7373 0.9166 0.3144  5 Pm 2.78-3.03
Ir 0.9166 0.7373 0.8144  5 Pm 2.78-3.03

For the volume, the calculation gives 551 Å³ per cell.



*ii*
A geometry-optimized Pm6CdIr3 structure. Source: Alexandria, functional PBE-GGA.

Unit cell a=11.9684 b=4.2846 c=12.0331 alpha=90.00 beta=108.70 gamma=90.00
Closest atoms and distances in Å follow each position.
Element x y z (fractional)
Pm 0.0391 0.2500 0.4065  3 Ir 2.81-2.84
Pm 0.1118 0.2500 0.9653  4 Ir 2.85-2.94
Pm 0.1957 0.7500 0.2686  3 Ir 2.91-2.99
Pm 0.2570 0.7500 0.7799  3 Ir 2.82-3.02
Pm 0.3588 0.2500 0.5546  2 Ir 2.87
Pm 0.4379 0.7500 0.0963  3 Ir 2.82-2.87
Pm 0.5621 0.2500 0.9037  3 Ir 2.82-2.87
Pm 0.6412 0.7500 0.4454  2 Ir 2.87
Pm 0.7430 0.2500 0.2201  3 Ir 2.82-3.02
Pm 0.8043 0.2500 0.7314  3 Ir 2.91-2.99
Pm 0.8882 0.7500 0.0347  4 Ir 2.85-2.94
Pm 0.9609 0.7500 0.5935  3 Ir 2.81-2.84
Cd 0.4271 0.2500 0.3028  7 Pm 3.31-3.42
Cd 0.5729 0.7500 0.6972  7 Pm 3.31-3.42
Ir 0.0290 0.2500 0.1704  6 Pm 2.81-2.94
Ir 0.1908 0.7500 0.5158  7 Pm 2.84-3.18
Ir 0.3395 0.2500 0.9367  6 Pm 2.82-2.87
Ir 0.6605 0.7500 0.0633  6 Pm 2.82-2.87
Ir 0.8092 0.2500 0.4842  7 Pm 2.84-3.18
Ir 0.9710 0.7500 0.8296  6 Pm 2.81-2.94

For the volume, the calculation gives 584 Å³ per cell.



What should be chosen as the most stable of them? Choose *ii*.